(1)
A plane-wave DFT calculation with SCAN was carried out for a PBEsol-optimized structure of TiBi2Cl.

The structure in extended XYZ format:
```
16
Lattice="4.425 0.000 0.000 0.000 4.425 0.000 0.000 0.000 21.755" Properties=species:S:1:pos:R:3 pbc="T T T"
Ti 0.000 0.000 0.000
Ti 0.000 2.212 5.439
Ti 2.212 0.000 16.316
Ti 2.212 2.212 10.877
Bi 0.996 1.106 2.719
Bi 1.106 3.208 8.158
Bi 1.106 3.429 19.035
Bi 1.217 1.106 13.597
Bi 3.208 3.318 13.597
Bi 3.318 0.996 19.035
Bi 3.318 1.217 8.158
Bi 3.429 3.318 2.719
Cl 0.000 0.000 10.877
Cl 0.000 2.212 16.316
Cl 2.212 0.000 5.439
Cl 2.212 2.212 0.000
```

formation energy from raw total energies = 0.01 eV/f.u.
energy = -45.290 eV/atom
V = 106 Å³/f.u.



(2)
A plane-wave DFT calculation with SCAN was carried out for a PBEsol-optimized structure of TiBiWCl2.

The structure in extended XYZ format:
```
5
Lattice="4.504 0.000 0.000 0.000 4.504 0.000 0.000 0.000 6.022" Properties=species:S:1:pos:R:3 pbc="T T T"
Ti 0.000 0.000 0.000
Bi 2.252 2.252 0.000
W 2.252 2.252 3.011
Cl 0.000 2.252 3.011
Cl 2.252 0.000 3.011
```

formation energy from raw total energies = 2.50 eV/f.u.
energy = -35.551 eV/atom
V = 122 Å³/f.u.



(3)
A plane-wave DFT calculation with SCAN was carried out for a PBEsol-optimized structure of Tl3BiCl6.

The structure in extended XYZ format:
```
20
Lattice="8.836 0.000 0.000 0.000 8.836 0.000 0.000 0.000 7.351" Properties=species:S:1:pos:R:3 pbc="T T T"
Tl 0.000 0.000 0.000
Tl 0.000 0.000 3.675
Tl 2.033 3.771 0.000
Tl 3.771 6.803 3.675
Tl 5.065 2.033 3.675
Tl 6.803 5.065 0.000
Bi 0.000 4.418 3.675
Bi 4.418 0.000 0.000
Cl 0.544 6.247 1.774
Cl 0.544 6.247 5.577
Cl 2.589 0.544 1.901
Cl 2.589 0.544 5.450
Cl 2.645 3.891 3.675
Cl 3.891 6.191 0.000
Cl 4.945 2.645 0.000
Cl 6.191 4.945 3.675
Cl 6.247 8.292 1.901
Cl 6.247 8.292 5.450
Cl 8.292 2.589 1.774
Cl 8.292 2.589 5.577
```

formation energy from raw total energies = -10.76 eV/f.u.
energy = -35.428 eV/atom
V = 287 Å³/f.u.



(4)
A plane-wave DFT calculation with SCAN was carried out for a PBEsol-optimized structure of TlBi2Cl7.

The structure in extended XYZ format:
```
20
Lattice="6.980 0.000 0.000 2.589 8.186 0.000 3.265 1.812 9.972" Properties=species:S:1:pos:R:3 pbc="T T T"
Tl 1.128 1.568 1.219
Tl 11.706 8.429 8.753
Bi 4.415 5.402 1.682
Bi 5.320 3.056 5.364
Bi 7.513 6.942 4.608
Bi 8.418 4.595 8.290
Cl 3.829 3.523 7.916
Cl 3.343 3.579 3.671
Cl 6.299 5.689 9.885
Cl 5.252 7.564 3.163
Cl 6.590 8.901 6.169
Cl 7.758 8.916 9.699
Cl 6.034 5.649 6.479
Cl 6.799 4.349 3.493
Cl 5.076 1.082 0.273
Cl 6.244 1.097 3.803
Cl 7.581 2.434 6.809
Cl 6.535 4.309 0.087
Cl 9.490 6.419 6.301
Cl 9.004 6.475 2.056
```

formation energy from raw total energies = -10.17 eV/f.u.
energy = -29.553 eV/atom
V = 285 Å³/f.u.



(5)
A plane-wave DFT calculation with SCAN was carried out for a PBEsol-optimized structure of Bi3WCl.

The structure in extended XYZ format:
```
5
Lattice="5.314 0.000 0.000 0.000 5.314 0.000 0.000 0.000 5.314" Properties=species:S:1:pos:R:3 pbc="T T T"
Bi 0.000 0.000 2.657
Bi 0.000 2.657 0.000
Bi 2.657 0.000 0.000
W 0.000 0.000 0.000
Cl 2.657 2.657 2.657
```

formation energy from raw total energies = 2.25 eV/f.u.
energy = -62.230 eV/atom
V = 150 Å³/f.u.



(6)
A plane-wave DFT calculation with SCAN was carried out for a PBEsol-optimized structure of CrCoBi2.

The structure in extended XYZ format:
```
16
Lattice="6.813 0.000 0.000 0.000 6.813 0.000 0.000 0.000 6.813" Properties=species:S:1:pos:R:3 pbc="T T T"
Cr 0.000 0.000 0.000
Cr 0.000 3.407 3.407
Cr 3.407 0.000 3.407
Cr 3.407 3.407 0.000
Co 0.000 0.000 3.407
Co 0.000 3.407 0.000
Co 3.407 0.000 0.000
Co 3.407 3.407 3.407
Bi 1.703 1.703 1.703
Bi 1.703 1.703 5.110
Bi 1.703 5.110 1.703
Bi 1.703 5.110 5.110
Bi 5.110 1.703 1.703
Bi 5.110 1.703 5.110
Bi 5.110 5.110 1.703
Bi 5.110 5.110 5.110
```

energy relative to the elements = 0.46 eV/atom
energy = -47.748 eV/atom
V = 79 Å³/f.u.



What is the V in the fifth record? 150 Å³/f.u.



V of number 5 (Bi3WCl)? 150 Å³/f.u.



Copy entry 2 word for word.
A plane-wave DFT calculation with SCAN was carried out for a PBEsol-optimized structure of TiBiWCl2.

The structure in extended XYZ format:
```
5
Lattice="4.504 0.000 0.000 0.000 4.504 0.000 0.000 0.000 6.022" Properties=species:S:1:pos:R:3 pbc="T T T"
Ti 0.000 0.000 0.000
Bi 2.252 2.252 0.000
W 2.252 2.252 3.011
Cl 0.000 2.252 3.011
Cl 2.252 0.000 3.011
```

formation energy from raw total energies = 2.50 eV/f.u.
energy = -35.551 eV/atom
V = 122 Å³/f.u.



What is the V in the fifth record? 150 Å³/f.u.